The following is a DFT calculation (PBE) of an optimized crystal structure of CsScC3.

Cell: 4.4250 4.4250 4.4250 Å, 90.00 90.00 90.00°
Atoms (fractional coordinates):
Cs 0.0000 0.0000 0.0000
C 0.5000 0.0000 0.0000
C 0.0000 0.0000 0.5000
C 0.0000 0.5000 0.0000
Sc 0.5000 0.5000 0.5000

Results
calculated volume: 86.6 Å³/cell
energy of formation from the pure elements: 17.47 eV per formula unit
ΔE to the lowest computed polymorph: 1.317 eV per atom
calculated total energy: -3.48 eV per atom